(1)
This record from Alexandria describes a relaxed Dy3TmHg3 crystal. The functional is GGA-PBE.

abc: 5.1582 9.2415 9.2415
angles: 120.00 90.00 90.00
Fractional positions:
Dy 0.7500 0.2453 0.0094
Tm 0.7500 0.3333 0.6667
Dy 0.2500 0.0094 0.7641
Hg 0.7500 0.4395 0.3895
Dy 0.2500 0.7547 0.9906
Hg 0.2500 0.0499 0.4395
Dy 0.2500 0.2359 0.2453
Hg 0.7500 0.6105 0.0499
Hg 0.7500 0.9501 0.5605
Tm 0.2500 0.6667 0.3333
Dy 0.7500 0.9906 0.2359
Hg 0.2500 0.3895 0.9501
Dy 0.7500 0.7641 0.7547
Hg 0.2500 0.5605 0.6105

(2)
This record from Alexandria describes a relaxed DyTm2Hg2 crystal. The functional is GGA-PBE.

Output
As for the energy relative to the lowest polymorph listed for this composition: 0 meV per atom.

abc: 3.7050 5.2476 13.6154
angles: 90.00 97.84 90.00
Fractional positions:
Tm 0.0471 0.7500 0.0952
Hg 0.6440 0.7500 0.2886
Tm 0.7643 0.2500 0.5280
Tm 0.9529 0.2500 0.9048
Tm 0.2357 0.7500 0.4720
Dy 0.8530 0.7500 0.7065
Hg 0.3560 0.2500 0.7114
Dy 0.1470 0.2500 0.2935
Hg 0.5466 0.2500 0.0936
Hg 0.4534 0.7500 0.9064

(3)
This record from Alexandria describes a relaxed Dy2TmHg crystal. The functional is GGA-PBE.

Output
As for the energy relative to the lowest polymorph listed for this composition: 76 meV per atom.

abc: 3.5875 3.5875 10.7292
angles: 80.38 80.38 60.00
Fractional positions:
Dy 0.7435 0.7435 0.7695
Tm 0.5000 0.5000 0.5000
Hg 0.0000 0.0000 0.0000
Dy 0.2565 0.2565 0.2305

(4)
This record from Alexandria describes a relaxed Dy3Tm2Hg2 crystal. The functional is GGA-PBE.

Output
As for the energy relative to the lowest polymorph listed for this composition: 0 meV per atom.

abc: 5.3096 5.3119 8.4395
angles: 108.30 90.04 119.97
Fractional positions:
Tm 0.9255 0.8510 0.2765
Dy 0.3422 0.6843 0.5263
Dy 0.5000 0.0000 0.0000
Tm 0.0745 0.1490 0.7235
Hg 0.2124 0.4250 0.1383
Hg 0.7876 0.5750 0.8617
Dy 0.6578 0.3157 0.4737

(5)
This record from Alexandria describes a relaxed Dy3TmHg2 crystal. The functional is GGA-PBE.

Output
As for the energy relative to the lowest polymorph listed for this composition: 65 meV per atom.

abc: 3.6529 3.6529 12.4571
angles: 90.00 90.00 90.00
Fractional positions:
Dy 0.0000 0.0000 0.6930
Dy 0.0000 0.0000 0.3070
Hg 0.5000 0.5000 0.1539
Tm 0.5000 0.5000 0.5000
Hg 0.5000 0.5000 0.8461
Dy 0.0000 0.0000 0.0000

(6)
This record from Alexandria describes a relaxed DyTmHg2 crystal. The functional is GGA-PBE.

Output
As for the energy relative to the lowest polymorph listed for this composition: 125 meV per atom.

abc: 3.7152 3.7152 9.4151
angles: 78.62 78.62 60.00
Fractional positions:
Hg 0.2511 0.2511 0.2467
Hg 0.7489 0.7489 0.7533
Dy 0.5000 0.5000 0.5000
Tm 0.0000 0.0000 0.0000

(7)
This record from Alexandria describes a relaxed DyTm2Hg8 crystal. The functional is GGA-PBE.

abc: 5.0778 7.8140 8.2723
angles: 118.18 107.87 90.00
Fractional positions:
Tm 0.7981 0.2981 0.5962
Hg 0.3555 0.1527 0.7110
Hg 0.8484 0.8484 0.6967
Hg 0.1516 0.1516 0.3033
Hg 0.3555 0.5583 0.7110
Dy 0.5000 0.0000 0.0000
Hg 0.0000 0.7030 0.0000
Hg 0.6445 0.8473 0.2890
Hg 0.6445 0.4417 0.2890
Tm 0.2019 0.7019 0.4038
Hg 0.0000 0.2970 0.0000

(8)
This record from Alexandria describes a relaxed Dy7TmHg4 crystal. The functional is GGA-PBE.

abc: 5.6720 8.9541 7.8221
angles: 70.62 68.74 71.53
Fractional positions:
Dy 0.5000 0.0000 0.0000
Hg 0.4528 0.7260 0.3684
Dy 0.9338 0.4043 0.7281
Hg 0.3117 0.3405 0.0362
Dy 0.2087 0.1142 0.4685
Dy 0.0662 0.5957 0.2719
Dy 0.7339 0.3134 0.2188
Hg 0.5472 0.2740 0.6315
Hg 0.6883 0.6595 0.9638
Dy 0.2661 0.6866 0.7812
Tm 0.0000 0.0000 0.0000
Dy 0.7913 0.8858 0.5315

(9)
This record from Alexandria describes a relaxed DyTm2Hg crystal. The functional is GGA-PBE.

Output
As for the energy relative to the lowest polymorph listed for this composition: 0 meV per atom.

abc: 3.5548 3.5548 8.8605
angles: 90.00 90.00 90.00
Fractional positions:
Tm 0.0000 0.0000 0.7774
Dy 0.5000 0.5000 0.5000
Hg 0.5000 0.5000 0.0000
Tm 0.0000 0.0000 0.2226

(10)
This record from Alexandria describes a relaxed Dy4TmHg2 crystal. The functional is GGA-PBE.

abc: 5.0774 5.0774 10.3724
angles: 75.83 75.83 60.00
Fractional positions:
Dy 0.8910 0.8910 0.3270
Dy 0.2958 0.2958 0.1126
Tm 0.5000 0.5000 0.5000
Dy 0.7042 0.7042 0.8874
Dy 0.1090 0.1090 0.6730
Hg 0.3995 0.3995 0.8016
Hg 0.6005 0.6005 0.1984

(11)
This record from Alexandria describes a relaxed DyTmHg5 crystal. The functional is GGA-PBE.

abc: 4.5993 4.5993 8.6073
angles: 90.00 90.00 90.00
Fractional positions:
Hg 0.5000 0.5000 0.5000
Hg 0.0000 0.5000 0.7609
Hg 0.5000 0.0000 0.7609
Tm 0.0000 0.0000 0.5000
Hg 0.5000 0.0000 0.2391
Hg 0.0000 0.5000 0.2391
Dy 0.5000 0.5000 0.0000

(12)
This record from Alexandria describes a relaxed DyTm2Hg crystal. The functional is GGA-PBE.

Output
As for the energy relative to the lowest polymorph listed for this composition: 77 meV per atom.

abc: 4.7429 4.7734 4.7734
angles: 90.00 90.00 90.00
Fractional positions:
Dy 0.5000 0.0000 0.0000
Tm 0.0000 0.0000 0.5000
Tm 0.0000 0.5000 0.0000
Hg 0.5000 0.5000 0.5000

(13)
This record from Alexandria describes a relaxed DyTm4Hg4 crystal. The functional is GGA-PBE.

abc: 5.4397 9.4614 9.4614
angles: 90.00 90.00 90.00
Fractional positions:
Tm 0.9004 0.3507 0.0904
Tm 0.5996 0.1493 0.4096
Hg 0.1015 0.2940 0.3956
Tm 0.5996 0.8507 0.5904
Hg 0.3985 0.7940 0.8956
Tm 0.0996 0.0904 0.6493
Dy 0.5000 0.5000 0.5000
Hg 0.6015 0.8956 0.2060
Tm 0.9004 0.6493 0.9096
Hg 0.3985 0.2060 0.1044
Tm 0.4004 0.5904 0.1493
Hg 0.8985 0.3956 0.7060
Hg 0.8985 0.6044 0.2940
Tm 0.4004 0.4096 0.8507
Tm 0.0996 0.9096 0.3507
Hg 0.6015 0.1044 0.7940
Dy 0.0000 0.0000 0.0000
Hg 0.1015 0.7060 0.6044

(14)
This record from Alexandria describes a relaxed Dy4Tm5Hg crystal. The functional is GGA-PBE.

abc: 3.5223 3.5223 23.8778
angles: 90.00 90.00 90.00
Fractional positions:
Dy 0.0000 0.0000 0.3961
Tm 0.5000 0.5000 0.9165
Tm 0.5000 0.5000 0.0835
Tm 0.5000 0.5000 0.2916
Dy 0.0000 0.0000 0.6039
Tm 0.5000 0.5000 0.7084
Dy 0.0000 0.0000 0.8120
Hg 0.0000 0.0000 0.0000
Tm 0.5000 0.5000 0.5000
Dy 0.0000 0.0000 0.1880

(15)
This record from Alexandria describes a relaxed DyTm2Hg4 crystal. The functional is GGA-PBE.

Output
As for the energy relative to the lowest polymorph listed for this composition: 0 meV per atom.

abc: 6.2930 6.2930 6.2930
angles: 109.96 109.23 109.23
Fractional positions:
Tm 0.5000 0.0000 0.5000
Tm 0.5000 0.5000 0.0000
Dy 0.0000 0.0000 0.0000
Hg 0.0000 0.0000 0.5000
Hg 0.5000 0.5000 0.5000
Hg 0.5000 0.0000 0.0000
Hg 0.0000 0.5000 0.0000

(16)
This record from Alexandria describes a relaxed DyTm5Hg4 crystal. The functional is GGA-PBE.

abc: 3.6279 3.6279 19.9336
angles: 90.00 90.00 90.00
Fractional positions:
Tm 0.5000 0.5000 0.8773
Dy 0.0000 0.0000 0.0000
Hg 0.0000 0.0000 0.2164
Hg 0.0000 0.0000 0.7836
Tm 0.5000 0.5000 0.3127
Hg 0.0000 0.0000 0.5945
Tm 0.5000 0.5000 0.1227
Hg 0.0000 0.0000 0.4055
Tm 0.5000 0.5000 0.5000
Tm 0.5000 0.5000 0.6873

(17)
This record from Alexandria describes a relaxed Dy5TmHg2 crystal. The functional is GGA-PBE.

abc: 3.6389 8.2161 8.2161
angles: 77.60 77.21 77.21
Fractional positions:
Hg 0.7326 0.7674 0.7674
Dy 0.6361 0.5889 0.1390
Dy 0.3639 0.8610 0.4111
Dy 0.6361 0.1390 0.5889
Dy 0.3639 0.4111 0.8610
Dy 0.0000 0.5000 0.5000
Tm 0.0000 0.0000 0.0000
Hg 0.2674 0.2326 0.2326

(18)
This record from Alexandria describes a relaxed Dy8Tm2Hg crystal. The functional is GGA-PBE.

abc: 5.5236 6.3494 9.9698
angles: 85.25 106.08 90.00
Fractional positions:
Dy 0.1559 0.2017 0.3118
Dy 0.3402 0.1215 0.6805
Dy 0.4212 0.6010 0.8423
Dy 0.6598 0.8785 0.3195
Dy 0.5788 0.3990 0.1577
Hg 0.5000 0.0000 0.0000
Tm 0.2422 0.6669 0.4843
Dy 0.0435 0.7357 0.0871
Dy 0.8441 0.7983 0.6882
Dy 0.9565 0.2643 0.9129
Tm 0.7578 0.3331 0.5157

(19)
This record from Alexandria describes a relaxed Dy3TmHg5 crystal. The functional is GGA-PBE.

abc: 6.4656 9.0778 9.0779
angles: 120.00 90.00 90.00
Fractional positions:
Hg 0.0000 0.3333 0.6667
Hg 0.7500 0.7038 0.7038
Dy 0.2500 0.6305 0.6305
Hg 0.2500 0.2962 0.2962
Dy 0.2500 0.0000 0.3695
Hg 0.2500 0.0000 0.7038
Dy 0.7500 0.3695 0.3695
Hg 0.5000 0.6667 0.3333
Hg 0.2500 0.7038 0.0000
Dy 0.7500 0.0000 0.6305
Hg 0.7500 0.2962 0.0000
Dy 0.2500 0.3695 0.0000
Hg 0.0000 0.6667 0.3333
Hg 0.5000 0.3333 0.6667
Hg 0.7500 0.0000 0.2962
Tm 0.5000 0.0000 0.0000
Dy 0.7500 0.6305 0.0000
Tm 0.0000 0.0000 0.0000

(20)
This record from Alexandria describes a relaxed Dy3TmHg6 crystal. The functional is GGA-PBE.

abc: 5.1338 9.1323 11.0767
angles: 106.64 90.00 90.00
Fractional positions:
Hg 0.7500 0.8584 0.8059
Dy 0.2500 0.7708 0.9917
Tm 0.2500 0.9404 0.6063
Hg 0.2500 0.4644 0.0894
Dy 0.2500 0.3532 0.7955
Dy 0.2500 0.5172 0.3872
Hg 0.7500 0.3443 0.3008
Hg 0.7500 0.1579 0.6881
Hg 0.2500 0.8421 0.3119
Hg 0.2500 0.1416 0.1941
Hg 0.7500 0.7597 0.4936
Dy 0.7500 0.6468 0.2045
Hg 0.7500 0.9376 0.1080
Hg 0.7500 0.5356 0.9106
Hg 0.2500 0.2404 0.5064
Hg 0.2500 0.6557 0.6992
Hg 0.2500 0.0624 0.8920
Tm 0.7500 0.0596 0.3937
Dy 0.7500 0.2292 0.0083
Dy 0.7500 0.4828 0.6128

Here are the calculated Fermi-level density of states numbers, same order: 18.2; 8.3; 4.0; 7.2; 7.5; 3.0; 5.0; 12.5; 4.3; 7.8; 2.9; 5.0; 16.5; 13.3; 2.6; 10.9; 7.6; 14.2; 14.8; 13.0 (states/eV per cell).
Here are the calculated calculated volume numbers, same order: 27.3; 26.2; 29.3; 27.5; 27.7; 27.4; 24.7; 28.4; 28.0; 31.7; 26.0; 27.0; 27.1; 29.6; 27.4; 26.2; 28.8; 30.4; 25.6; 24.9 (Å³ per atom).
Here are the calculated formation energy from the elements numbers, same order: -1.89; -1.93; -0.60; -1.66; -1.77; -1.41; -3.09; -1.18; -0.92; 0.24; -1.72; -0.61; -2.16; -0.77; -2.79; -3.70; -1.17; -0.57; -3.69; -4.22 (eV/f.u.).